[1]
Compound: Nd4Er2In
Source: Alexandria via LeMat-Bulk
Functional: GGA-PBE
Structure: relaxed

Cell lengths 6.7134, 6.7133, 12.2706 Å; angles 97.01, 97.01, 123.64 degrees
Fractional positions:
In 0.0259 0.5259 0.5000
In 0.7759 0.7759 0.0000
Nd 0.0425 0.7028 0.7905
Nd 0.6674 0.1979 0.9239
Nd 0.9123 0.2520 0.2095
Nd 0.4479 0.4174 0.4239
Nd 0.9935 0.0240 0.5761
Nd 0.2740 0.7435 0.0761
Nd 0.9528 0.7925 0.2905
Nd 0.5020 0.6623 0.7095
Er 0.5216 0.9239 0.3676
Er 0.5562 0.1540 0.6324
Er 0.1739 0.2716 0.8676
Er 0.4040 0.3062 0.1324

Calculated values
Space-group type = No. 43
Calculated total energy = -63.14 eV for the cell shown
Energy relative to the lowest polymorph listed for this composition = 0.00 eV/f.u.

[2]
Compound: PmSmHo2Se6
Source: Alexandria via LeMat-Bulk
Functional: GGA-PBE
Structure: relaxed

Cell lengths 7.2918, 7.2919, 7.7493 Å; angles 61.94, 61.94, 60.00 degrees
Fractional positions:
Pm 0.8139 0.8140 0.5580
Sm 0.3150 0.3149 0.0551
Ho 0.5137 0.5136 0.4591
Ho 0.0130 0.0131 0.9609
Se 0.6218 0.2278 0.2471
Se 0.2278 0.9033 0.2471
Se 0.9033 0.6218 0.2471
Se 0.4005 0.7280 0.7469
Se 0.7280 0.1245 0.7470
Se 0.1246 0.4005 0.7470

Calculated values
Space-group type = No. 146
Calculated total energy = -58.00 eV for the cell shown
Energy relative to the elements, uncorrected = -1.847 eV/atom

[3]
Compound: Mg2ICl
Source: Alexandria via LeMat-Bulk
Functional: GGA-PBE
Structure: relaxed

Cell lengths 5.2622, 5.2622, 5.2622 Å; angles 60.00, 60.00, 60.00 degrees
Fractional positions:
I 0.5000 0.5000 0.5000
Mg 0.2500 0.2500 0.2500
Mg 0.7500 0.7500 0.7500
Cl 0.0000 0.0000 0.0000

Calculated values
Space-group type = No. 225
Calculated total energy = -8.20 eV for the cell shown
Energy relative to the lowest polymorph listed for this composition = 0.48 eV/f.u.
Energy relative to the elements, uncorrected = -0.404 eV/atom

[4]
Compound: Rb6Au
Source: Alexandria via LeMat-Bulk
Functional: GGA-PBE
Structure: relaxed

Cell lengths 10.5988, 10.5988, 10.5988 Å; angles 109.47, 109.47, 109.47 degrees
Fractional positions:
Rb 0.2500 0.7500 0.5000
Rb 0.5000 0.7500 0.2500
Rb 0.2500 0.5000 0.7500
Rb 0.7500 0.2500 0.5000
Rb 0.5000 0.2500 0.7500
Rb 0.7500 0.5000 0.2500
Au 0.0000 0.0000 0.0000

Calculated values
Space-group type = No. 229
Calculated total energy = -5.78 eV for the cell shown
Energy relative to the lowest polymorph listed for this composition = 3.90 eV/f.u.

[5]
Compound: Y2Tm2Rh
Source: Alexandria via LeMat-Bulk
Functional: GGA-PBE
Structure: relaxed

Cell lengths 7.4004, 6.9414, 7.8025 Å; angles 73.32, 57.42, 57.79 degrees
Fractional positions:
Y 0.5690 0.4399 0.7513
Y 0.4310 0.5601 0.2487
Y 0.0089 0.5601 0.7513
Y 0.9911 0.4399 0.2487
Tm 0.8396 0.0000 0.3957
Tm 0.6396 0.0000 0.1055
Tm 0.3604 0.0000 0.8945
Tm 0.1604 0.0000 0.6043
Rh 0.1230 0.7541 0.0000
Rh 0.8770 0.2459 0.0000

Calculated values
Space-group type = No. 12
Calculated total energy = -61.73 eV for the cell shown

[6]
Compound: PmHfZrN3
Source: Alexandria via LeMat-Bulk
Functional: GGA-PBE
Structure: relaxed

Cell lengths 3.3623, 5.7342, 8.6747 Å; angles 102.70, 90.00, 90.00 degrees
Fractional positions:
Pm 0.7500 0.6543 0.6932
Pm 0.2500 0.3457 0.3068
Hf 0.2500 0.1372 0.6451
Hf 0.7500 0.8628 0.3549
Zr 0.2500 0.7666 0.0414
Zr 0.7500 0.2334 0.9586
N 0.2500 0.7645 0.4909
N 0.7500 0.0390 0.1539
N 0.7500 0.5591 0.1585
N 0.7500 0.2355 0.5091
N 0.2500 0.4409 0.8415
N 0.2500 0.9610 0.8461

Calculated values
Space-group type = No. 11
Calculated total energy = -115.54 eV for the cell shown
Energy relative to the elements, uncorrected = -1.590 eV/atom

[7]
Compound: NdSm12Er5
Source: Alexandria via LeMat-Bulk
Functional: GGA-PBE
Structure: relaxed

Cell lengths 15.2428, 10.7829, 5.0886 Å; angles 90.00, 90.00, 45.06 degrees
Fractional positions:
Nd 0.0000 0.0000 0.0000
Sm 0.8330 0.0001 0.4999
Sm 0.1670 0.9999 0.5001
Sm 0.6648 0.9999 0.9999
Sm 0.3353 0.0001 0.0001
Sm 0.3336 0.6651 0.0000
Sm 0.0013 0.6652 0.0000
Sm 0.9987 0.3348 0.0000
Sm 0.6664 0.3350 0.0000
Sm 0.4987 0.3326 0.5000
Sm 0.8312 0.6673 0.5000
Sm 0.1688 0.3327 0.5000
Sm 0.5013 0.6674 0.5000
Er 0.5000 0.0000 0.5000
Er 0.1680 0.6640 0.5000
Er 0.8320 0.3360 0.5000
Er 0.6666 0.6668 0.0000
Er 0.3334 0.3332 0.0000

Calculated values
Space-group type = No. 65
Calculated total energy = -83.87 eV for the cell shown

[8]
Compound: CeSc2P
Source: Alexandria via LeMat-Bulk
Functional: GGA-PBE
Structure: relaxed

Cell lengths 3.5754, 3.5754, 9.0190 Å; angles 78.57, 78.57, 60.00 degrees
Last column: magnetic moment on the atom in μB.
Fractional positions:
Sc 0.2753 0.2753 0.1741  0.05
Sc 0.7247 0.7247 0.8259  0.05
P 0.0000 0.0000 0.0000  0.00
Ce 0.5000 0.5000 0.5000  0.91

Calculated values
Space-group type = No. 166
Calculated total energy = -26.39 eV for the cell shown
Energy relative to the lowest polymorph listed for this composition = 0.07 eV/f.u.

What is the formula in the fifth record?
Y2Tm2Rh